Entry 1:
! ZrTaZn4 | Alexandria via LeMat-Bulk | GGA-PBE | optimized geometry; values from VASP
&SYSTEM
  ibrav = 0, nat = 6, ntyp = 3
/
ATOMIC_SPECIES
Zr 91.22 Zr.upf
Ta 180.95 Ta.upf
Zn 65.41 Zn.upf
CELL_PARAMETERS angstrom
0.000 3.628 3.628
3.628 0.000 3.628
3.628 3.628 0.000
ATOMIC_POSITIONS crystal
Zr 0.000 0.000 0.000
Ta 0.750 0.750 0.750
Zn 0.375 0.375 0.375
Zn 0.375 0.375 0.874
Zn 0.375 0.874 0.375
Zn 0.874 0.375 0.375
! Symmetry: F-43m (216)

---

Entry 2:
! KNpAs2 | Alexandria via LeMat-Bulk | GGA-PBE | optimized geometry; values from VASP
&SYSTEM
  ibrav = 0, nat = 12, ntyp = 3
/
ATOMIC_SPECIES
K 39.10 K.upf
Np 237.00 Np.upf
As 74.92 As.upf
CELL_PARAMETERS angstrom
4.262 0.000 0.000
-2.131 3.691 0.000
0.000 0.000 22.675
ATOMIC_POSITIONS crystal
K 0.000 0.000 0.000
K 0.333 0.667 0.667
K 0.667 0.333 0.333
Np 0.000 0.000 0.500
Np 0.333 0.667 0.167
Np 0.667 0.333 0.833
As 0.000 0.000 0.227
As 0.000 0.000 0.773
As 0.333 0.667 0.439
As 0.333 0.667 0.894
As 0.667 0.333 0.106
As 0.667 0.333 0.561
! Energy above the most stable polymorph in this dataset (kcal/mol of atoms): 0.00
! Symmetry: R-3m (166)

---

Entry 3:
! NaLi3Pa2S6 | Alexandria via LeMat-Bulk | GGA-PBE | optimized geometry; values from VASP
&SYSTEM
  ibrav = 0, nat = 12, ntyp = 4
/
ATOMIC_SPECIES
Na 22.99 Na.upf
Li 6.94 Li.upf
Pa 231.04 Pa.upf
S 32.06 S.upf
CELL_PARAMETERS angstrom
8.279 -1.968 0.000
8.279 1.968 0.000
-1.578 0.000 7.663
ATOMIC_POSITIONS crystal
Na 0.000 0.000 0.000
Li 0.000 0.000 0.500
Li 0.340 0.340 0.168
Li 0.660 0.660 0.832
Pa 0.340 0.340 0.676
Pa 0.660 0.660 0.324
S 0.169 0.169 0.577
S 0.174 0.174 0.092
S 0.499 0.499 0.733
S 0.501 0.501 0.267
S 0.826 0.826 0.908
S 0.831 0.831 0.423
! Raw formation energy (eV/atom): -1.45
! Symmetry: C2/m (12)

---

Number 1: raw total energy -4.40 eV per atom. Number 2: raw total energy -6.28 eV per atom. Number 3: raw total energy -5.69 eV per atom.